No. 1
Entry from Alexandria via LeMat-Bulk: a relaxed structure of PmCuAs (GGA-PBE).

Values from the calculation:
DOS(E_F) ... 0.4766 states/eV per atom
E_form ... -0.4438 eV per atom
Magnetization ... 0.0000 μB/atom

```
data_PmCuAs
_symmetry_space_group_name_H-M 'I 4 m m'
_symmetry_Int_Tables_number 107
_symmetry_space_group_name_Hall 'I 4 -2'
_cell_length_a 4.0271
_cell_length_b 4.0271
_cell_length_c 8.2085
_cell_angle_alpha 90.00
_cell_angle_beta 90.00
_cell_angle_gamma 90.00
loop_
_atom_site_label
_atom_site_type_symbol
_atom_site_fract_x
_atom_site_fract_y
_atom_site_fract_z
_atom_site_occupancy
Pm1 Pm 0.0000 0.0000 0.0000 1
Cu1 Cu 0.0000 0.0000 0.6540 1
As1 As 0.0000 0.0000 0.3587 1
```

=====

No. 2
Entry from Alexandria via LeMat-Bulk: a relaxed structure of ZrTl2Mo (GGA-PBE).

Values from the calculation:
DOS(E_F) ... 0.4855 states/eV per atom
E_form ... 0.6748 eV per atom
Magnetization ... 0.0000 μB/atom

```
data_ZrTl2Mo
_symmetry_space_group_name_H-M 'I -4 2 d'
_symmetry_Int_Tables_number 122
_symmetry_space_group_name_Hall 'I -4 2bw'
_cell_length_a 7.8364
_cell_length_b 7.8364
_cell_length_c 5.9904
_cell_angle_alpha 90.00
_cell_angle_beta 90.00
_cell_angle_gamma 90.00
loop_
_atom_site_label
_atom_site_type_symbol
_atom_site_fract_x
_atom_site_fract_y
_atom_site_fract_z
_atom_site_occupancy
Zr1 Zr 0.0000 0.0000 0.0000 1
Tl1 Tl 0.2347 0.7500 0.6250 1
Mo1 Mo 0.0000 0.0000 0.5000 1
```

=====

No. 3
Entry from Alexandria via LeMat-Bulk: a relaxed structure of AgPdCl2 (GGA-PBE).

Values from the calculation:
DOS(E_F) ... 1.2785 states/eV per atom
E_form (uncorrected) ... 0.030 eV/atom
Magnetization ... 0.2500 μB/atom

```
data_AgPdCl2
_symmetry_space_group_name_H-M 'F m -3 m'
_symmetry_Int_Tables_number 225
_symmetry_space_group_name_Hall '-F 4 2 3'
_cell_length_a 6.6975
_cell_length_b 6.6975
_cell_length_c 6.6975
_cell_angle_alpha 90.00
_cell_angle_beta 90.00
_cell_angle_gamma 90.00
loop_
_atom_site_label
_atom_site_type_symbol
_atom_site_fract_x
_atom_site_fract_y
_atom_site_fract_z
_atom_site_occupancy
Ag1 Ag 0.0000 0.0000 0.0000 1
Pd1 Pd 0.0000 0.0000 0.5000 1
Cl1 Cl 0.2500 0.2500 0.2500 1
```

=====

No. 4
Entry from Alexandria via LeMat-Bulk: a relaxed structure of Pu2TlSb (GGA-PBE).

Values from the calculation:
DOS(E_F) ... 4.3027 states/eV per atom
E_form (uncorrected) ... -0.249 eV/atom
Magnetization ... 3.0773 μB/atom

```
data_Pu2TlSb
_symmetry_space_group_name_H-M 'F m -3 m'
_symmetry_Int_Tables_number 225
_symmetry_space_group_name_Hall '-F 4 2 3'
_cell_length_a 7.5804
_cell_length_b 7.5804
_cell_length_c 7.5804
_cell_angle_alpha 90.00
_cell_angle_beta 90.00
_cell_angle_gamma 90.00
loop_
_atom_site_label
_atom_site_type_symbol
_atom_site_fract_x
_atom_site_fract_y
_atom_site_fract_z
_atom_site_occupancy
Pu1 Pu 0.2500 0.2500 0.2500 1
Tl1 Tl 0.0000 0.0000 0.0000 1
Sb1 Sb 0.0000 0.0000 0.5000 1
```

=====

No. 5
Entry from Alexandria via LeMat-Bulk: a relaxed structure of MgReIr (GGA-PBE).

Values from the calculation:
DOS(E_F) ... 0.7240 states/eV per atom
E_form ... -0.1034 eV per atom
Magnetization ... 0.0000 μB/atom

```
data_MgReIr
_symmetry_space_group_name_H-M 'P 1 m 1'
_symmetry_Int_Tables_number 6
_cell_length_a 4.6587
_cell_length_b 2.8501
_cell_length_c 7.4234
_cell_angle_alpha 90.00
_cell_angle_beta 108.21
_cell_angle_gamma 90.00
loop_
_symmetry_equiv_pos_as_xyz
'x,y,z'
'x,-y,z'
loop_
_atom_site_label
_atom_site_type_symbol
_atom_site_fract_x
_atom_site_fract_y
_atom_site_fract_z
_atom_site_occupancy
Mg1 Mg 0.0000 0.0000 0.0000 1
Mg2 Mg 0.3610 0.0000 0.7247 1
Re1 Re 0.0060 0.5000 0.3624 1
Re2 Re 0.4786 0.0000 0.3625 1
Ir1 Ir 0.5378 0.5000 0.0632 1
Ir2 Ir 0.8351 0.5000 0.6615 1
```

=====

No. 6
Entry from Alexandria via LeMat-Bulk: a relaxed structure of KV (GGA-PBE).

Values from the calculation:
DOS(E_F) ... 1.5016 states/eV per atom
E_form ... 1.2271 eV per atom
Magnetization ... 0.0005 μB/atom

```
data_KV
_symmetry_space_group_name_H-M 'I 4/m'
_symmetry_Int_Tables_number 87
_symmetry_space_group_name_Hall '-I 4'
_cell_length_a 14.9586
_cell_length_b 14.9586
_cell_length_c 2.9310
_cell_angle_alpha 90.00
_cell_angle_beta 90.00
_cell_angle_gamma 90.00
loop_
_atom_site_label
_atom_site_type_symbol
_atom_site_fract_x
_atom_site_fract_y
_atom_site_fract_z
_atom_site_occupancy
K1 K 0.0277 0.2442 0.0000 1
V1 V 0.1949 0.7498 0.5000 1
```

=====

No. 7
Entry from Alexandria via LeMat-Bulk: a relaxed structure of VI3 (GGA-PBE).

Values from the calculation:
DOS(E_F) ... 0.9098 states/eV per atom
E_form (uncorrected) ... 0.015 eV/atom
Magnetization ... 0.4937 μB/atom

```
data_VI3
_symmetry_space_group_name_H-M 'I -4 2 d'
_symmetry_Int_Tables_number 122
_symmetry_space_group_name_Hall 'I -4 2bw'
_cell_length_a 8.1944
_cell_length_b 8.1944
_cell_length_c 9.5636
_cell_angle_alpha 90.00
_cell_angle_beta 90.00
_cell_angle_gamma 90.00
loop_
_atom_site_label
_atom_site_type_symbol
_atom_site_fract_x
_atom_site_fract_y
_atom_site_fract_z
_atom_site_occupancy
V1 V 0.0000 0.0000 0.0000 1
I1 I 0.0000 0.0000 0.5000 1
I2 I 0.1469 0.2500 0.1250 1
```

=====

No. 8
Entry from Alexandria via LeMat-Bulk: a relaxed structure of Pa2ReS (GGA-PBE).

Values from the calculation:
DOS(E_F) ... 1.1819 states/eV per atom
E_form (uncorrected) ... -0.667 eV/atom
Magnetization ... 0.0000 μB/atom

```
data_Pa2ReS
_symmetry_space_group_name_H-M 'P 4/m m m'
_symmetry_Int_Tables_number 123
_symmetry_space_group_name_Hall '-P 4 2'
_cell_length_a 3.2418
_cell_length_b 3.2418
_cell_length_c 7.6161
_cell_angle_alpha 90.00
_cell_angle_beta 90.00
_cell_angle_gamma 90.00
loop_
_atom_site_label
_atom_site_type_symbol
_atom_site_fract_x
_atom_site_fract_y
_atom_site_fract_z
_atom_site_occupancy
Pa1 Pa 0.0000 0.0000 0.2468 1
Re1 Re 0.5000 0.5000 0.0000 1
S1 S 0.5000 0.5000 0.5000 1
```

=====

No. 9
Entry from Alexandria via LeMat-Bulk: a relaxed structure of PmSiPt (GGA-PBE).

Values from the calculation:
DOS(E_F) ... 2.2838 states/eV per atom
E_form (uncorrected) ... -0.737 eV/atom
Magnetization ... 0.0017 μB/atom

```
data_PmSiPt
_symmetry_space_group_name_H-M 'F -4 3 m'
_symmetry_Int_Tables_number 216
_symmetry_space_group_name_Hall 'F -4 2 3'
_cell_length_a 6.5044
_cell_length_b 6.5044
_cell_length_c 6.5044
_cell_angle_alpha 90.00
_cell_angle_beta 90.00
_cell_angle_gamma 90.00
loop_
_atom_site_label
_atom_site_type_symbol
_atom_site_fract_x
_atom_site_fract_y
_atom_site_fract_z
_atom_site_occupancy
Pm1 Pm 0.0000 0.0000 0.0000 1
Si1 Si 0.0000 0.0000 0.5000 1
Pt1 Pt 0.2500 0.2500 0.2500 1
```

=====

No. 10
Entry from Alexandria via LeMat-Bulk: a relaxed structure of Cd2GeHPt6 (GGA-PBE).

Values from the calculation:
DOS(E_F) ... 0.2722 states/eV per atom
Final energy ... -4.790 eV/atom
Magnetization ... 0.0000 μB/atom

```
data_Cd2GeHPt6
_symmetry_space_group_name_H-M 'P -1'
_symmetry_Int_Tables_number 2
_cell_length_a 5.5562
_cell_length_b 5.5794
_cell_length_c 6.8104
_cell_angle_alpha 91.87
_cell_angle_beta 112.37
_cell_angle_gamma 119.64
loop_
_symmetry_equiv_pos_as_xyz
'x,y,z'
'-x,-y,-z'
loop_
_atom_site_label
_atom_site_type_symbol
_atom_site_fract_x
_atom_site_fract_y
_atom_site_fract_z
_atom_site_occupancy
Cd1 Cd 0.0465 0.2983 0.3449 1
Ge1 Ge 0.5000 0.0000 0.5000 1
H1 H 0.5000 0.5000 0.0000 1
Pt1 Pt 0.0466 0.2441 0.7890 1
Pt2 Pt 0.4143 0.7391 0.1567 1
Pt3 Pt 0.4523 0.2540 0.2103 1
```

=====

No. 11
Entry from Alexandria via LeMat-Bulk: a relaxed structure of Sm8Y4Mg (GGA-PBE).

Values from the calculation:
DOS(E_F) ... 1.4711 states/eV per atom
E_form ... 0.0199 eV per atom
Magnetization ... 0.0000 μB/atom

```
data_Sm8Y4Mg
_symmetry_space_group_name_H-M 'C 1 m 1'
_symmetry_Int_Tables_number 8
_cell_length_a 11.3554
_cell_length_b 5.0666
_cell_length_c 14.7809
_cell_angle_alpha 90.00
_cell_angle_beta 94.47
_cell_angle_gamma 90.00
loop_
_symmetry_equiv_pos_as_xyz
'x,y,z'
'x,-y,z'
'x+1/2,y+1/2,z'
'x+1/2,-y+1/2,z'
loop_
_atom_site_label
_atom_site_type_symbol
_atom_site_fract_x
_atom_site_fract_y
_atom_site_fract_z
_atom_site_occupancy
Sm1 Sm 0.0000 0.0000 0.0000 1
Sm2 Sm 0.0309 0.5000 0.3817 1
Sm3 Sm 0.0700 0.0000 0.7694 1
Sm4 Sm 0.1015 0.5000 0.1511 1
Sm5 Sm 0.2183 0.0000 0.3022 1
Sm6 Sm 0.2644 0.5000 0.6939 1
Sm7 Sm 0.3363 0.5000 0.4571 1
Sm8 Sm 0.3827 0.0000 0.8488 1
Y1 Y 0.1472 0.0000 0.5366 1
Y2 Y 0.1903 0.5000 0.9242 1
Y3 Y 0.4110 0.5000 0.2268 1
Y4 Y 0.4536 0.0000 0.6144 1
Mg1 Mg 0.3011 0.0000 0.0756 1
```

=====

No. 12
Entry from Alexandria via LeMat-Bulk: a relaxed structure of Ho12Tm6In (GGA-PBE).

Values from the calculation:
DOS(E_F) ... 1.4968 states/eV per atom
E_form ... 0.0775 eV per atom
Magnetization ... 0.0002 μB/atom

```
data_Ho12Tm6In
_symmetry_space_group_name_H-M 'R -3'
_symmetry_Int_Tables_number 148
_symmetry_space_group_name_Hall '-R 3'
_cell_length_a 11.7175
_cell_length_b 11.7175
_cell_length_c 14.8200
_cell_angle_alpha 90.00
_cell_angle_beta 90.00
_cell_angle_gamma 120.00
loop_
_atom_site_label
_atom_site_type_symbol
_atom_site_fract_x
_atom_site_fract_y
_atom_site_fract_z
_atom_site_occupancy
Ho1 Ho 0.0041 0.8265 0.3143 1
Ho2 Ho 0.0455 0.1963 0.9153 1
Tm1 Tm 0.0202 0.5909 0.1879 1
In1 In 0.0000 0.0000 0.5000 1
```